This record from the Alexandria database describes crystalline MnCoW2 at its relaxed geometry. The functional is PBE-GGA.

As for the total energy: -10.368 eV per atom. The value obtained for the distance to the lowest polymorph of the same formula is 48.0 meV/atom. Its calculated formation energy is 0.18 eV/atom.

It has space group P4mm (No. 99), with a = 2.701 Å, b = 2.701 Å, c = 7.629 Å, α = 90.00°, β = 90.00° and γ = 90.00°. The inequivalent atoms are Mn at (0.000, 0.000, 0.000), Co at (0.500, 0.500, 0.790), W at (0.000, 0.000, 0.559) and W at (0.500, 0.500, 0.262).